VASP calculation (PBE-GGA) on Tl2WSe2Br4 after structural relaxation.

Cell lengths 6.354, 7.259, 7.259 Å; angles 60.59, 81.49, 81.49 degrees
Positions (direct):
Se 0.221 0.155 0.155
Se 0.779 0.845 0.845
Br 0.298 0.665 0.160
Br 0.298 0.160 0.665
Br 0.702 0.335 0.840
Br 0.702 0.840 0.335
W 0.500 0.000 0.000
Tl 0.261 0.681 0.681
Tl 0.739 0.319 0.319

Output
- density of states at the Fermi level (states/eV/cell) = 1.44
- formation energy without anion corrections (eV/atom) = -0.4234
- uncorrected energy (eV per cell) = -35.16
- spin magnetization (μB/atom) = 0.000

VASP calculation (PBE-GGA) on YTlSeBr2 after structural relaxation.

Cell lengths 5.637, 5.637, 5.430 Å; angles 90.00, 90.00, 90.00 degrees
Each line ends with the local moment (μB).
Positions (direct):
Br 0.000 0.500 0.000  0.00
Br 0.500 0.000 0.000  0.00
Se 0.000 0.000 0.500  -0.02
Y 0.500 0.500 0.500  0.52
Tl 0.000 0.000 0.000  0.01

Output
- density of states at the Fermi level (states/eV/cell) = 4.30
- formation energy without anion corrections (eV/atom) = -0.1939
- excess energy over the best structure of this formula in the dataset (meV/atom) = 1128.2
- uncorrected energy (eV per cell) = -16.63
- spin magnetization (μB/atom) = 0.175

Question: spin magnetization of number 2 (YTlSeBr2)?
Answer: 0.175 μB/atom

Question: uncorrected energy of number 1 (Tl2WSe2Br4)?
Answer: -35.16 eV per cell

Copy entry 2 word for word.
VASP calculation (PBE-GGA) on YTlSeBr2 after structural relaxation.

Cell lengths 5.637, 5.637, 5.430 Å; angles 90.00, 90.00, 90.00 degrees
Each line ends with the local moment (μB).
Positions (direct):
Br 0.000 0.500 0.000  0.00
Br 0.500 0.000 0.000  0.00
Se 0.000 0.000 0.500  -0.02
Y 0.500 0.500 0.500  0.52
Tl 0.000 0.000 0.000  0.01

Output
- density of states at the Fermi level (states/eV/cell) = 4.30
- formation energy without anion corrections (eV/atom) = -0.1939
- excess energy over the best structure of this formula in the dataset (meV/atom) = 1128.2
- uncorrected energy (eV per cell) = -16.63
- spin magnetization (μB/atom) = 0.175